(1)
Below is a crystal of As2OsPb relaxed with PBEsol, with properties calculated at the meta-GGA SCAN level.

Structure (POSCAR):
```
As2OsPb
1.0
1.596 0.921 8.974
-1.596 0.921 8.974
0.000 -1.843 8.974
As Os Pb
2 1 1
Direct
0.231 0.231 0.231
0.769 0.769 0.769
0.500 0.500 0.500
0.000 0.000 0.000
```

Computed properties:
Raw total energy   -46.826 eV per atom
Magnetic moment   0.000 μB per formula unit

---

(2)
Below is a crystal of AsOs3Pb relaxed with PBEsol, with properties calculated at the meta-GGA SCAN level.

Structure (POSCAR):
```
AsOs3Pb
1.0
4.874 0.000 0.000
0.000 4.874 0.000
0.000 0.000 4.874
As Os Pb
1 3 1
Direct
0.000 0.000 0.000
0.000 0.500 0.500
0.500 0.000 0.500
0.500 0.500 0.000
0.500 0.500 0.500
```

Computed properties:
Raw total energy   -58.953 eV per atom
Magnetic moment   0.277 μB per formula unit

---

(3)
Below is a crystal of As2OsPb relaxed with PBEsol, with properties calculated at the meta-GGA SCAN level.

Structure (POSCAR):
```
As2OsPb
1.0
3.514 -1.854 0.000
3.514 1.854 0.000
-1.960 0.000 6.345
As Os Pb
2 1 1
Direct
0.229 0.229 0.176
0.771 0.771 0.824
0.500 0.500 0.000
0.000 0.000 0.500
```

Computed properties:
Raw total energy   -46.766 eV per atom
Magnetic moment   0.000 μB per formula unit

---

(4)
Below is a crystal of SiAsOs2Pb relaxed with PBEsol, with properties calculated at the meta-GGA SCAN level.

Structure (POSCAR):
```
SiAsOs2Pb
1.0
4.959 0.000 0.000
0.000 4.959 0.000
0.000 0.000 5.057
Si As Os Pb
1 1 2 1
Direct
0.000 0.000 0.000
0.500 0.500 0.000
0.000 0.500 0.500
0.500 0.000 0.500
0.500 0.500 0.500
```

Computed properties:
Energy relative to the elements, uncorrected   2.91 eV per atom
Raw total energy   -47.042 eV per atom
Magnetic moment   2.206 μB per formula unit

---

(5)
Below is a crystal of As2OsPd relaxed with PBEsol, with properties calculated at the meta-GGA SCAN level.

Structure (POSCAR):
```
As2OsPd
1.0
-2.793 2.793 5.333
2.793 -2.793 5.333
2.793 2.793 -5.333
As Os Pd
4 2 2
Direct
0.113 0.625 0.988
0.375 0.363 0.488
0.637 0.125 0.012
0.875 0.887 0.512
0.000 0.000 0.000
0.750 0.250 0.500
0.250 0.750 0.500
0.500 0.500 0.000
```

Computed properties:
Raw total energy   -36.160 eV per atom
Magnetic moment   0.000 μB per formula unit

---

(6)
Below is a crystal of AsOs2Pt relaxed with PBEsol, with properties calculated at the meta-GGA SCAN level.

Structure (POSCAR):
```
AsOs2Pt
1.0
4.572 -1.424 0.000
4.572 1.424 0.000
-0.202 0.000 4.551
As Os Pt
1 2 1
Direct
0.000 0.000 0.000
0.496 0.496 0.471
0.769 0.769 0.266
0.230 0.230 0.748
```

Computed properties:
Raw total energy   -58.209 eV per atom
Magnetic moment   0.000 μB per formula unit

---

(7)
Below is a crystal of AsOsPt2 relaxed with PBEsol, with properties calculated at the meta-GGA SCAN level.

Structure (POSCAR):
```
AsOsPt2
1.0
2.779 0.000 0.000
0.000 2.779 0.000
0.000 0.000 7.916
As Os Pt
1 1 2
Direct
0.000 0.000 0.000
0.000 0.000 0.500
0.500 0.500 0.264
0.500 0.500 0.736
```

Computed properties:
Raw total energy   -57.899 eV per atom
Magnetic moment   0.000 μB per formula unit

---

(8)
Below is a crystal of AsOs2Pt relaxed with PBEsol, with properties calculated at the meta-GGA SCAN level.

Structure (POSCAR):
```
AsOs2Pt
1.0
4.447 0.000 0.000
0.000 4.447 0.000
0.000 0.000 2.927
As Os Pt
1 2 1
Direct
0.000 0.000 0.000
0.000 0.500 0.500
0.500 0.000 0.500
0.500 0.500 0.000
```

Computed properties:
Raw total energy   -58.044 eV per atom
Magnetic moment   0.000 μB per formula unit